Crystalline CaSn3S4 at its relaxed geometry. Source: the Alexandria database, functional GGA-PBE.

a = 8.262 Å, b = 11.655 Å, c = 4.112 Å
α = 90.00°, β = 90.00°, γ = 90.00°
Atoms (fractional coordinates):
Ca1 0.000 0.000 0.000
Ca2 0.500 0.500 0.000
Sn1 0.000 0.500 0.000
Sn2 0.250 0.250 0.500
Sn3 0.250 0.750 0.500
Sn4 0.500 0.000 0.000
Sn5 0.750 0.250 0.500
Sn6 0.750 0.750 0.500
S1 0.000 0.247 0.000
S2 0.000 0.753 0.000
S3 0.243 0.000 0.500
S4 0.257 0.500 0.500
S5 0.500 0.253 0.000
S6 0.500 0.747 0.000
S7 0.743 0.500 0.500
S8 0.757 0.000 0.500

Output
Formation energy from raw total energies ... -6.6 eV/f.u.
Raw total energy ... -4.637 eV per atom
ρ ... 4.40 Mg/m³